No. 1
Here is an optimized crystal structure of TaTlCr3 from Alexandria. Energies are from PBEsol.

Output
Calculated formation energy ... 1670 meV/atom
VASP energy ... -0.276 Ha/atom
DOS(E_F) ... 5.5 states/eV per cell

a b c (Å): 4.6848 4.6848 4.6848
angles (deg): 90.00 90.00 90.00
With the nearest neighbours (Å) after each atom.
Element x y z (fractional)
Ta 0.0000 0.0000 0.0000  6 Cr 2.34
Tl 0.5000 0.5000 0.5000  12 Cr 3.31
Cr 0.0000 0.0000 0.5000  2 Ta 2.34
Cr 0.0000 0.5000 0.0000  2 Ta 2.34
Cr 0.5000 0.0000 0.0000  2 Ta 2.34

***

No. 2
Here is an optimized crystal structure of BaCdAs2Se from Alexandria. Energies are from PBEsol.

Output
Formation energy (no corrections) ... -4.2 kcal/mol of atoms
VASP energy ... -0.135 Ha/atom
Offset from the most stable computed form ... 0.00 eV/f.u.
DOS(E_F) ... 4.4 states/eV per cell

a b c (Å): 5.1155 5.1155 5.3508
angles (deg): 90.00 90.00 90.00
With the nearest neighbours (Å) after each atom.
Element x y z (fractional)
Ba 0.0000 0.0000 0.0000  4 Se 3.62, 8 As 3.70
Cd 0.5000 0.5000 0.5000  4 As 2.56, 2 Se 2.68
As 0.0000 0.5000 0.5000  2 Cd 2.56
As 0.5000 0.0000 0.5000  2 Cd 2.56
Se 0.5000 0.5000 0.0000  2 Cd 2.68

***

No. 3
Here is an optimized crystal structure of YRh2Pb from Alexandria. Energies are from PBEsol.

Output
Calculated formation energy ... -462 meV/atom
VASP energy ... -0.266 Ha/atom
DOS(E_F) ... 5.2 states/eV per cell

a b c (Å): 4.1677 3.6558 10.1056
angles (deg): 90.00 90.00 90.00
With the nearest neighbours (Å) after each atom.
Element x y z (fractional)
Y 0.0000 0.0000 0.0000  7 Rh 2.80-2.90
Y 0.0000 0.5000 0.5000  7 Rh 2.80-2.90
Rh 0.0000 0.0000 0.2767  2 Rh 2.68, 3 Y 2.80-2.90, 4 Pb 2.84
Rh 0.0000 0.5000 0.7767  2 Rh 2.68, 3 Y 2.80-2.90, 4 Pb 2.84
Rh 0.5000 0.0000 0.4438  2 Rh 2.68, 3 Pb 2.73-2.95, 4 Y 2.83
Rh 0.5000 0.5000 0.9438  2 Rh 2.68, 3 Pb 2.73-2.95, 4 Y 2.83
Pb 0.5000 0.0000 0.7142  7 Rh 2.73-2.95
Pb 0.5000 0.5000 0.2142  7 Rh 2.73-2.95

***

No. 4
Here is an optimized crystal structure of HfZnAu2F from Alexandria. Energies are from PBEsol.

Output
Formation energy (no corrections) ... -0.9 kcal/mol of atoms
VASP energy ... -0.162 Ha/atom
DOS(E_F) ... 3.3 states/eV per cell

a b c (Å): 5.0333 5.0333 3.5225
angles (deg): 90.00 90.00 90.00
With the nearest neighbours (Å) after each atom.
Element x y z (fractional)
Hf 0.0000 0.0000 0.0000  8 Au 3.07
Zn 0.5000 0.5000 0.0000  2 F 1.76
Au 0.0000 0.5000 0.5000  2 F 2.52
Au 0.5000 0.0000 0.5000  2 F 2.52
F 0.5000 0.5000 0.5000  2 Zn 1.76

***

No. 5
Here is an optimized crystal structure of BeFeAg2 from Alexandria. Energies are from PBEsol.

Output
Calculated formation energy ... 139 meV/atom
VASP energy ... -0.175 Ha/atom
DOS(E_F) ... 1.4 states/eV per cell

a b c (Å): 2.7041 2.7041 7.0975
angles (deg): 90.00 90.00 90.00
With the nearest neighbours (Å) after each atom.
Element x y z (fractional)
Be 0.0000 0.0000 0.0000  4 Fe 2.32, 4 Ag 2.51
Fe 0.5000 0.5000 0.8138  4 Be 2.32
Ag 0.0000 0.0000 0.5395  8 Ag 2.70-2.92, 4 Fe 2.73
Ag 0.5000 0.5000 0.2282  4 Be 2.51, 4 Ag 2.70

***

No. 6
Here is an optimized crystal structure of Be2OsW2 from Alexandria. Energies are from PBEsol.

Output
Calculated formation energy ... -98 meV/atom
VASP energy ... -0.355 Ha/atom
DOS(E_F) ... 7.5 states/eV per cell

a b c (Å): 6.1561 6.1561 3.1233
angles (deg): 90.00 90.00 90.00
With the nearest neighbours (Å) after each atom.
Element x y z (fractional)
Be 0.1205 0.3795 0.0000  1 Be 2.10
Be 0.3795 0.8795 0.0000  1 Be 2.10
Be 0.6205 0.1205 0.0000  1 Be 2.10
Be 0.8795 0.6205 0.0000  1 Be 2.10
Os 0.0000 0.0000 0.0000  4 Be 2.45
Os 0.5000 0.5000 0.0000  4 Be 2.45
W 0.1719 0.6719 0.5000  6 Be 2.39-2.40
W 0.3281 0.1719 0.5000  6 Be 2.39-2.40
W 0.6719 0.8281 0.5000  6 Be 2.39-2.40
W 0.8281 0.3281 0.5000  6 Be 2.39-2.40